[1]
A plane-wave DFT calculation with PBE was carried out for a relaxed NaErGaPb crystal.

Summary:
Formation energy from the elements   -0.225 eV/atom

Structure (CIF):
```
data_NaErGaPb
_cell_length_a 7.3941
_cell_length_b 7.3941
_cell_length_c 7.3941
_cell_angle_alpha 90.00
_cell_angle_beta 90.00
_cell_angle_gamma 90.00
_symmetry_space_group_name_H-M 'F -4 3 m'
_symmetry_Int_Tables_number 216
_symmetry_space_group_name_Hall 'F -4 2 3'
loop_
_atom_site_label
_atom_site_type_symbol
_atom_site_fract_x
_atom_site_fract_y
_atom_site_fract_z
Na1 Na 0.0000 0.0000 0.0000
Er1 Er 0.0000 0.0000 0.5000
Ga1 Ga 0.2500 0.2500 0.2500
Pb1 Pb 0.2500 0.2500 0.7500
```

***

[2]
A plane-wave DFT calculation with PBE was carried out for a relaxed Na4Er3GaS8 crystal.

Structure (CIF):
```
data_Na4Er3GaS8
_cell_length_a 7.7657
_cell_length_b 7.7657
_cell_length_c 20.0592
_cell_angle_alpha 90.00
_cell_angle_beta 90.00
_cell_angle_gamma 120.00
_symmetry_space_group_name_H-M 'R -3 m'
_symmetry_Int_Tables_number 166
_symmetry_space_group_name_Hall '-R 3 2"'
loop_
_atom_site_label
_atom_site_type_symbol
_atom_site_fract_x
_atom_site_fract_y
_atom_site_fract_z
Na1 Na 0.0000 0.0000 0.0000
Na2 Na 0.0000 0.5000 0.0000
Er1 Er 0.0000 0.5000 0.5000
Ga1 Ga 0.0000 0.0000 0.5000
S1 S 0.0000 0.0000 0.2420
S2 S 0.0160 0.5080 0.2396
```

***

[3]
A plane-wave DFT calculation with PBE was carried out for a relaxed Na2ErGaS4 crystal.

Structure (CIF):
```
data_Na2ErGaS4
_cell_length_a 10.9441
_cell_length_b 11.0802
_cell_length_c 7.5446
_cell_angle_alpha 90.00
_cell_angle_beta 133.56
_cell_angle_gamma 90.00
_symmetry_space_group_name_H-M 'C 1 2/c 1'
_symmetry_Int_Tables_number 15
loop_
_symmetry_equiv_pos_as_xyz
'x,y,z'
'-x,-y,-z'
'-x,y,-z+1/2'
'x,-y,z+1/2'
'x+1/2,y+1/2,z'
'-x+1/2,-y+1/2,-z'
'-x+1/2,y+1/2,-z+1/2'
'x+1/2,-y+1/2,z+1/2'
loop_
_atom_site_label
_atom_site_type_symbol
_atom_site_fract_x
_atom_site_fract_y
_atom_site_fract_z
Na1 Na 0.0000 0.0000 0.0000
Na2 Na 0.2500 0.2500 0.0000
Er1 Er 0.2500 0.2500 0.5000
Ga1 Ga 0.0000 0.5000 0.0000
S1 S 0.0001 0.2603 0.0082
S2 S 0.2128 0.4967 0.4634
```

***

[4]
A plane-wave DFT calculation with PBE was carried out for a relaxed Na2ErGaSe4 crystal.

Structure (CIF):
```
data_Na2ErGaSe4
_cell_length_a 7.9217
_cell_length_b 8.2993
_cell_length_c 11.6469
_cell_angle_alpha 90.00
_cell_angle_beta 90.00
_cell_angle_gamma 90.00
_symmetry_space_group_name_H-M 'I m m a'
_symmetry_Int_Tables_number 74
_symmetry_space_group_name_Hall '-I 2b 2'
loop_
_atom_site_label
_atom_site_type_symbol
_atom_site_fract_x
_atom_site_fract_y
_atom_site_fract_z
Na1 Na 0.0000 0.0000 0.0000
Na2 Na 0.2500 0.2500 0.2500
Er1 Er 0.0000 0.0000 0.5000
Ga1 Ga 0.2500 0.2500 0.7500
Se1 Se 0.0000 0.0353 0.7466
Se2 Se 0.2427 0.2500 0.5076
```

***

[5]
A plane-wave DFT calculation with PBE was carried out for a relaxed Na3Er3GaSe8 crystal.

Structure (CIF):
```
data_Na3Er3GaSe8
_cell_length_a 13.9062
_cell_length_b 8.0304
_cell_length_c 8.5308
_cell_angle_alpha 90.00
_cell_angle_beta 122.92
_cell_angle_gamma 90.00
_symmetry_space_group_name_H-M 'C 1 2/m 1'
_symmetry_Int_Tables_number 12
loop_
_symmetry_equiv_pos_as_xyz
'x,y,z'
'-x,-y,-z'
'-x,y,-z'
'x,-y,z'
'x+1/2,y+1/2,z'
'-x+1/2,-y+1/2,-z'
'-x+1/2,y+1/2,-z'
'x+1/2,-y+1/2,z'
loop_
_atom_site_label
_atom_site_type_symbol
_atom_site_fract_x
_atom_site_fract_y
_atom_site_fract_z
Na1 Na 0.0000 0.0000 0.0000
Na2 Na 0.2500 0.2500 0.0000
Er1 Er 0.0000 0.5000 0.5000
Er2 Er 0.2500 0.2500 0.5000
Ga1 Ga 0.0000 0.0000 0.5000
Se1 Se 0.0061 0.2379 0.2824
Se2 Se 0.2299 0.0000 0.7167
Se3 Se 0.2434 0.5000 0.7286
```

***

[6]
A plane-wave DFT calculation with PBE was carried out for a relaxed NaErGaSn crystal.

Summary:
Formation energy from the elements   -0.292 eV/atom

Structure (CIF):
```
data_NaErGaSn
_cell_length_a 7.2976
_cell_length_b 7.2976
_cell_length_c 7.2976
_cell_angle_alpha 90.00
_cell_angle_beta 90.00
_cell_angle_gamma 90.00
_symmetry_space_group_name_H-M 'F -4 3 m'
_symmetry_Int_Tables_number 216
_symmetry_space_group_name_Hall 'F -4 2 3'
loop_
_atom_site_label
_atom_site_type_symbol
_atom_site_fract_x
_atom_site_fract_y
_atom_site_fract_z
Na1 Na 0.0000 0.0000 0.0000
Er1 Er 0.0000 0.0000 0.5000
Ga1 Ga 0.2500 0.2500 0.2500
Sn1 Sn 0.2500 0.2500 0.7500
```

***

[7]
A plane-wave DFT calculation with PBE was carried out for a relaxed Na2ErGaTe4 crystal.

Structure (CIF):
```
data_Na2ErGaTe4
_cell_length_a 12.3476
_cell_length_b 12.6011
_cell_length_c 8.4861
_cell_angle_alpha 90.00
_cell_angle_beta 133.35
_cell_angle_gamma 90.00
_symmetry_space_group_name_H-M 'C 1 2/c 1'
_symmetry_Int_Tables_number 15
loop_
_symmetry_equiv_pos_as_xyz
'x,y,z'
'-x,-y,-z'
'-x,y,-z+1/2'
'x,-y,z+1/2'
'x+1/2,y+1/2,z'
'-x+1/2,-y+1/2,-z'
'-x+1/2,y+1/2,-z+1/2'
'x+1/2,-y+1/2,z+1/2'
loop_
_atom_site_label
_atom_site_type_symbol
_atom_site_fract_x
_atom_site_fract_y
_atom_site_fract_z
Na1 Na 0.0000 0.0000 0.0000
Na2 Na 0.2500 0.2500 0.0000
Er1 Er 0.2500 0.2500 0.5000
Ga1 Ga 0.0000 0.5000 0.0000
Te1 Te 0.0002 0.2549 0.0070
Te2 Te 0.2175 0.4949 0.4689
```

***

[8]
A plane-wave DFT calculation with PBE was carried out for a relaxed NaErTlGa crystal.

Summary:
Formation energy from the elements   -0.222 eV/atom

Structure (CIF):
```
data_NaErTlGa
_cell_length_a 7.2945
_cell_length_b 7.2945
_cell_length_c 7.2945
_cell_angle_alpha 90.00
_cell_angle_beta 90.00
_cell_angle_gamma 90.00
_symmetry_space_group_name_H-M 'F -4 3 m'
_symmetry_Int_Tables_number 216
_symmetry_space_group_name_Hall 'F -4 2 3'
loop_
_atom_site_label
_atom_site_type_symbol
_atom_site_fract_x
_atom_site_fract_y
_atom_site_fract_z
Na1 Na 0.0000 0.0000 0.0000
Er1 Er 0.0000 0.0000 0.5000
Tl1 Tl 0.2500 0.2500 0.7500
Ga1 Ga 0.2500 0.2500 0.2500
```

***

[9]
A plane-wave DFT calculation with PBE was carried out for a relaxed ErNbGa3 crystal.

Summary:
Formation energy from the elements   -0.183 eV/atom

Structure (CIF):
```
data_ErNbGa3
_cell_length_a 3.9995
_cell_length_b 3.9995
_cell_length_c 12.5330
_cell_angle_alpha 90.00
_cell_angle_beta 90.00
_cell_angle_gamma 90.00
_symmetry_space_group_name_H-M 'I 4 m m'
_symmetry_Int_Tables_number 107
_symmetry_space_group_name_Hall 'I 4 -2'
loop_
_atom_site_label
_atom_site_type_symbol
_atom_site_fract_x
_atom_site_fract_y
_atom_site_fract_z
Er1 Er 0.0000 0.0000 0.0000
Nb1 Nb 0.0000 0.0000 0.6422
Ga1 Ga 0.0000 0.0000 0.4338
Ga2 Ga 0.0000 0.5000 0.2850
```

***

[10]
A plane-wave DFT calculation with PBE was carried out for a relaxed ErNbGa2 crystal.

Summary:
Formation energy from the elements   -0.347 eV/atom
Offset from the most stable computed form   0.0 meV/atom

Structure (CIF):
```
data_ErNbGa2
_cell_length_a 3.5378
_cell_length_b 3.5378
_cell_length_c 6.1562
_cell_angle_alpha 90.00
_cell_angle_beta 90.00
_cell_angle_gamma 90.00
_symmetry_space_group_name_H-M 'P 4/m m m'
_symmetry_Int_Tables_number 123
_symmetry_space_group_name_Hall '-P 4 2'
loop_
_atom_site_label
_atom_site_type_symbol
_atom_site_fract_x
_atom_site_fract_y
_atom_site_fract_z
Er1 Er 0.0000 0.0000 0.0000
Nb1 Nb 0.0000 0.0000 0.5000
Ga1 Ga 0.5000 0.5000 0.2885
```

***

[11]
A plane-wave DFT calculation with PBE was carried out for a relaxed ErNbGa2 crystal.

Summary:
Formation energy from the elements   -0.134 eV/atom
Offset from the most stable computed form   213.2 meV/atom

Structure (CIF):
```
data_ErNbGa2
_cell_length_a 3.2285
_cell_length_b 3.2285
_cell_length_c 26.9369
_cell_angle_alpha 90.00
_cell_angle_beta 90.00
_cell_angle_gamma 120.00
_symmetry_space_group_name_H-M 'R -3 m'
_symmetry_Int_Tables_number 166
_symmetry_space_group_name_Hall '-R 3 2"'
loop_
_atom_site_label
_atom_site_type_symbol
_atom_site_fract_x
_atom_site_fract_y
_atom_site_fract_z
Er1 Er 0.0000 0.0000 0.0000
Nb1 Nb 0.0000 0.0000 0.5000
Ga1 Ga 0.0000 0.0000 0.2445
```

***

[12]
A plane-wave DFT calculation with PBE was carried out for a relaxed ErNb2Ga8 crystal.

Summary:
Formation energy from the elements   -0.098 eV/atom

Structure (CIF):
```
data_ErNb2Ga8
_cell_length_a 7.1719
_cell_length_b 11.9523
_cell_length_c 5.2703
_cell_angle_alpha 90.00
_cell_angle_beta 108.45
_cell_angle_gamma 90.00
_symmetry_space_group_name_H-M 'C 1 2/m 1'
_symmetry_Int_Tables_number 12
loop_
_symmetry_equiv_pos_as_xyz
'x,y,z'
'-x,-y,-z'
'-x,y,-z'
'x,-y,z'
'x+1/2,y+1/2,z'
'-x+1/2,-y+1/2,-z'
'-x+1/2,y+1/2,-z'
'x+1/2,-y+1/2,z'
loop_
_atom_site_label
_atom_site_type_symbol
_atom_site_fract_x
_atom_site_fract_y
_atom_site_fract_z
Er1 Er 0.0000 0.0000 0.0000
Nb1 Nb 0.0000 0.2882 0.5000
Ga1 Ga 0.0000 0.2597 0.0000
Ga2 Ga 0.0777 0.5000 0.7630
Ga3 Ga 0.2131 0.1050 0.6369
```

***

[13]
A plane-wave DFT calculation with PBE was carried out for a relaxed Er2Nb3Ga4 crystal.

Summary:
Formation energy from the elements   -0.454 eV/atom

Structure (CIF):
```
data_Er2Nb3Ga4
_cell_length_a 7.3252
_cell_length_b 7.1361
_cell_length_c 7.0923
_cell_angle_alpha 90.00
_cell_angle_beta 109.52
_cell_angle_gamma 90.00
_symmetry_space_group_name_H-M 'P 1 21/c 1'
_symmetry_Int_Tables_number 14
loop_
_symmetry_equiv_pos_as_xyz
'x,y,z'
'-x,-y,-z'
'-x,y+1/2,-z+1/2'
'x,-y+1/2,z+1/2'
loop_
_atom_site_label
_atom_site_type_symbol
_atom_site_fract_x
_atom_site_fract_y
_atom_site_fract_z
Er1 Er 0.1909 0.1596 0.0646
Nb1 Nb 0.2608 0.6867 0.2479
Nb2 Nb 0.5000 0.0000 0.5000
Ga1 Ga 0.0791 0.5402 0.8663
Ga2 Ga 0.4849 0.1264 0.8653
```

***

[14]
A plane-wave DFT calculation with PBE was carried out for a relaxed Er2NbGa6 crystal.

Summary:
Formation energy from the elements   -0.434 eV/atom

Structure (CIF):
```
data_Er2NbGa6
_cell_length_a 5.9104
_cell_length_b 5.9104
_cell_length_c 5.7444
_cell_angle_alpha 90.00
_cell_angle_beta 90.00
_cell_angle_gamma 120.00
_symmetry_space_group_name_H-M 'P -3 m 1'
_symmetry_Int_Tables_number 164
_symmetry_space_group_name_Hall '-P 3 2"'
loop_
_atom_site_label
_atom_site_type_symbol
_atom_site_fract_x
_atom_site_fract_y
_atom_site_fract_z
Er1 Er 0.3333 0.6667 0.1666
Nb1 Nb 0.0000 0.0000 0.0000
Ga1 Ga 0.1813 0.3626 0.6747
```

***

[15]
A plane-wave DFT calculation with PBE was carried out for a relaxed ErNbGa2O8 crystal.

Structure (CIF):
```
data_ErNbGa2O8
_cell_length_a 6.8208
_cell_length_b 6.8208
_cell_length_c 6.5121
_cell_angle_alpha 90.00
_cell_angle_beta 90.00
_cell_angle_gamma 90.00
_symmetry_space_group_name_H-M 'I -4 m 2'
_symmetry_Int_Tables_number 119
_symmetry_space_group_name_Hall 'I -4 -2'
loop_
_atom_site_label
_atom_site_type_symbol
_atom_site_fract_x
_atom_site_fract_y
_atom_site_fract_z
Er1 Er 0.0000 0.0000 0.0000
Nb1 Nb 0.0000 0.5000 0.2500
Ga1 Ga 0.0000 0.0000 0.5000
Ga2 Ga 0.0000 0.5000 0.7500
O1 O 0.0000 0.2040 0.3132
O2 O 0.0000 0.3232 0.9631
```

***

[16]
A plane-wave DFT calculation with PBE was carried out for a relaxed Er2NbGa2Ru5 crystal.

Summary:
Formation energy from the elements   -0.389 eV/atom

Structure (CIF):
```
data_Er2NbGa2Ru5
_cell_length_a 10.0623
_cell_length_b 10.0623
_cell_length_c 3.3503
_cell_angle_alpha 90.00
_cell_angle_beta 90.00
_cell_angle_gamma 90.00
_symmetry_space_group_name_H-M 'P 4/m b m'
_symmetry_Int_Tables_number 127
_symmetry_space_group_name_Hall '-P 4 2ab'
loop_
_atom_site_label
_atom_site_type_symbol
_atom_site_fract_x
_atom_site_fract_y
_atom_site_fract_z
Er1 Er 0.1711 0.3289 0.0000
Nb1 Nb 0.0000 0.0000 0.0000
Ga1 Ga 0.1277 0.6277 0.0000
Ru1 Ru 0.0000 0.5000 0.5000
Ru2 Ru 0.0670 0.8019 0.5000
```

***

[17]
A plane-wave DFT calculation with PBE was carried out for a relaxed Nd3ErGa2 crystal.

Summary:
Formation energy from the elements   -0.360 eV/atom
Offset from the most stable computed form   35.8 meV/atom

Structure (CIF):
```
data_Nd3ErGa2
_cell_length_a 16.5536
_cell_length_b 5.1368
_cell_length_c 8.0422
_cell_angle_alpha 90.00
_cell_angle_beta 97.76
_cell_angle_gamma 90.00
_symmetry_space_group_name_H-M 'C 1 2/m 1'
_symmetry_Int_Tables_number 12
loop_
_symmetry_equiv_pos_as_xyz
'x,y,z'
'-x,-y,-z'
'-x,y,-z'
'x,-y,z'
'x+1/2,y+1/2,z'
'-x+1/2,-y+1/2,-z'
'-x+1/2,y+1/2,-z'
'x+1/2,-y+1/2,z'
loop_
_atom_site_label
_atom_site_type_symbol
_atom_site_fract_x
_atom_site_fract_y
_atom_site_fract_z
Nd1 Nd 0.0575 0.0000 0.3230
Nd2 Nd 0.1198 0.5000 0.0346
Nd3 Nd 0.1808 0.5000 0.4975
Er1 Er 0.1651 0.0000 0.7810
Ga1 Ga 0.0327 0.5000 0.6685
Ga2 Ga 0.2192 0.0000 0.1642
```

***

[18]
A plane-wave DFT calculation with PBE was carried out for a relaxed NdErGa4 crystal.

Summary:
Formation energy from the elements   -0.539 eV/atom
Offset from the most stable computed form   111.9 meV/atom

Structure (CIF):
```
data_NdErGa4
_cell_length_a 7.8663
_cell_length_b 7.8663
_cell_length_c 7.8663
_cell_angle_alpha 90.00
_cell_angle_beta 90.00
_cell_angle_gamma 90.00
_symmetry_space_group_name_H-M 'F -4 3 m'
_symmetry_Int_Tables_number 216
_symmetry_space_group_name_Hall 'F -4 2 3'
loop_
_atom_site_label
_atom_site_type_symbol
_atom_site_fract_x
_atom_site_fract_y
_atom_site_fract_z
Nd1 Nd 0.0000 0.0000 0.0000
Er1 Er 0.2500 0.2500 0.2500
Ga1 Ga 0.1249 0.1249 0.6249
```

***

[19]
A plane-wave DFT calculation with PBE was carried out for a relaxed NdErGa2 crystal.

Summary:
Formation energy from the elements   -0.560 eV/atom
Offset from the most stable computed form   40.9 meV/atom

Structure (CIF):
```
data_NdErGa2
_cell_length_a 7.2410
_cell_length_b 7.2410
_cell_length_c 7.2410
_cell_angle_alpha 90.00
_cell_angle_beta 90.00
_cell_angle_gamma 90.00
_symmetry_space_group_name_H-M 'F m -3 m'
_symmetry_Int_Tables_number 225
_symmetry_space_group_name_Hall '-F 4 2 3'
loop_
_atom_site_label
_atom_site_type_symbol
_atom_site_fract_x
_atom_site_fract_y
_atom_site_fract_z
Nd1 Nd 0.0000 0.0000 0.0000
Er1 Er 0.0000 0.0000 0.5000
Ga1 Ga 0.2500 0.2500 0.2500
```

***

[20]
A plane-wave DFT calculation with PBE was carried out for a relaxed NdErGa2 crystal.

Summary:
Formation energy from the elements   -0.388 eV/atom
Offset from the most stable computed form   213.2 meV/atom

Structure (CIF):
```
data_NdErGa2
_cell_length_a 3.7037
_cell_length_b 3.7037
_cell_length_c 26.3488
_cell_angle_alpha 90.00
_cell_angle_beta 90.00
_cell_angle_gamma 120.00
_symmetry_space_group_name_H-M 'R -3 m'
_symmetry_Int_Tables_number 166
_symmetry_space_group_name_Hall '-R 3 2"'
loop_
_atom_site_label
_atom_site_type_symbol
_atom_site_fract_x
_atom_site_fract_y
_atom_site_fract_z
Nd1 Nd 0.0000 0.0000 0.0000
Er1 Er 0.0000 0.0000 0.5000
Ga1 Ga 0.0000 0.0000 0.2469
```

***

no.,energy (eV per atom)
1,-3.3792
2,-4.9986
3,-4.6192
4,-4.1823
5,-4.5921
6,-3.5203
7,-3.6774
8,-3.0408
9,-4.9260
10,-5.5186
11,-5.3054
12,-4.5450
13,-6.1701
14,-4.5851
15,-7.0384
16,-7.5519
17,-4.5136
18,-4.1124
19,-4.4065
20,-4.2342